ScRuS2Cl after structural relaxation. Source: Alexandria via LeMat-Bulk, functional PBEsol.

Cell lengths 4.5688, 4.5688, 4.5559 Å; angles 90.00, 90.00, 90.00 degrees
Fractional positions:
Sc (0.0000, 0.0000, 0.0000)
Ru (0.5000, 0.5000, 0.5000)
S (0.0000, 0.5000, 0.5000)
S (0.5000, 0.0000, 0.5000)
Cl (0.5000, 0.5000, 0.0000)

Properties
Symmetry = P4/mmm
Calculated volume = 19.02 Å³ per atom
Final energy = -5.810 eV per atom
N(E_F) = 5.09 states/eV per cell

Ba2FeAu after structural relaxation. Source: Alexandria via LeMat-Bulk, functional PBEsol.

Cell lengths 5.5491, 5.5491, 3.7657 Å; angles 90.00, 90.00, 90.00 degrees
Fractional positions:
Ba (0.0000, 0.5000, 0.0000)
Ba (0.5000, 0.0000, 0.0000)
Fe (0.0000, 0.0000, 0.5000)
Au (0.5000, 0.5000, 0.5000)

Properties
Symmetry = P4/mmm
Calculated volume = 28.99 Å³ per atom
Relative energy among the computed polymorphs = 0.59 eV/f.u.
N(E_F) = 5.89 states/eV per cell
Formation energy = 0.21 eV/atom

CaPtSe after structural relaxation. Source: Alexandria via LeMat-Bulk, functional PBEsol.

Cell lengths 4.2883, 4.2883, 3.8936 Å; angles 90.00, 90.00, 120.00 degrees
Fractional positions:
Ca (0.0000, 0.0000, 0.0000)
Pt (0.3333, 0.6667, 0.5000)
Se (0.6667, 0.3333, 0.5000)

Properties
Symmetry = P-6m2
Calculated volume = 20.67 Å³ per atom
Final energy = -5.409 eV per atom
N(E_F) = 0.76 states/eV per cell

ZnAg3Mo after structural relaxation. Source: Alexandria via LeMat-Bulk, functional PBEsol.

Cell lengths 4.9799, 4.9799, 4.9799 Å; angles 90.00, 90.00, 90.00 degrees
Fractional positions:
Zn (0.0000, 0.0000, 0.0000)
Ag (0.0000, 0.5000, 0.5000)
Ag (0.5000, 0.0000, 0.5000)
Ag (0.5000, 0.5000, 0.0000)
Mo (0.5000, 0.5000, 0.5000)

Properties
Symmetry = Pm-3m
Calculated volume = 24.70 Å³ per atom
N(E_F) = 5.51 states/eV per cell
Formation energy = 1.77 eV/atom

Zr3Al2Cu3 after structural relaxation. Source: Alexandria via LeMat-Bulk, functional PBEsol.

Cell lengths 7.6508, 7.6508, 5.1551 Å; angles 90.00, 90.00, 120.00 degrees
Fractional positions:
Zr (0.0000, 0.2532, 0.2500)
Zr (0.0000, 0.7468, 0.7500)
Zr (0.2532, 0.0000, 0.2500)
Zr (0.2532, 0.2532, 0.7500)
Zr (0.7468, 0.0000, 0.7500)
Zr (0.7468, 0.7468, 0.2500)
Al (0.3333, 0.6667, 0.0000)
Al (0.3333, 0.6667, 0.5000)
Al (0.6667, 0.3333, 0.0000)
Al (0.6667, 0.3333, 0.5000)
Cu (0.0000, 0.4044, 0.7500)
Cu (0.0000, 0.5956, 0.2500)
Cu (0.4044, 0.0000, 0.7500)
Cu (0.4044, 0.4044, 0.2500)
Cu (0.5956, 0.0000, 0.2500)
Cu (0.5956, 0.5956, 0.7500)

Properties
Symmetry = P6_3/mcm
Calculated volume = 16.33 Å³ per atom
Relative energy among the computed polymorphs = 0.00 eV/f.u.
N(E_F) = 11.96 states/eV per cell
Formation energy = -0.29 eV/atom

Sc2ReRu after structural relaxation. Source: Alexandria via LeMat-Bulk, functional PBEsol.

Cell lengths 9.5273, 9.5273, 9.5273 Å; angles 17.61, 17.61, 17.61 degrees
Fractional positions:
Sc (0.0000, 0.0000, 0.0000)
Sc (0.2312, 0.2312, 0.2312)
Re (0.7484, 0.7484, 0.7484)
Ru (0.4864, 0.4864, 0.4864)

Properties
Symmetry = R3m
Calculated volume = 17.26 Å³ per atom
N(E_F) = 2.91 states/eV per cell
Formation energy = 0.20 eV/atom

Sc2CoNi after structural relaxation. Source: Alexandria via LeMat-Bulk, functional PBEsol.

Cell lengths 4.3790, 4.3790, 4.3790 Å; angles 60.00, 60.00, 60.00 degrees
Fractional positions:
Sc (0.2500, 0.2500, 0.2500)
Sc (0.7500, 0.7500, 0.7500)
Co (0.0000, 0.0000, 0.0000)
Ni (0.5000, 0.5000, 0.5000)

Properties
Symmetry = Fm-3m
Calculated volume = 14.84 Å³ per atom
N(E_F) = 2.81 states/eV per cell
Formation energy = -0.42 eV/atom

CrTc after structural relaxation. Source: Alexandria via LeMat-Bulk, functional PBEsol.

Cell lengths 4.9103, 4.9103, 5.8690 Å; angles 107.42, 107.42, 34.36 degrees
Fractional positions:
Cr (0.0000, 0.0000, 0.0000)
Cr (0.0195, 0.0195, 0.4885)
Cr (0.6537, 0.6537, 0.3212)
Tc (0.3350, 0.3350, 0.1809)
Tc (0.3422, 0.3422, 0.6475)
Tc (0.6643, 0.6643, 0.8279)

Properties
Symmetry = Cm
Calculated volume = 12.64 Å³ per atom
N(E_F) = 5.88 states/eV per cell
Formation energy = 0.08 eV/atom

ScZn2Cu after structural relaxation. Source: Alexandria via LeMat-Bulk, functional PBEsol.

Cell lengths 4.3583, 4.3583, 4.3583 Å; angles 120.11, 120.11, 89.82 degrees
Fractional positions:
Sc (0.0000, 0.0000, 0.0000)
Zn (0.2500, 0.7500, 0.5000)
Zn (0.7500, 0.2500, 0.5000)
Cu (0.5000, 0.5000, 0.0000)

Properties
Symmetry = I4/mmm
Calculated volume = 14.61 Å³ per atom
N(E_F) = 1.47 states/eV per cell
Formation energy = -0.28 eV/atom

BaAsO2F after structural relaxation. Source: Alexandria via LeMat-Bulk, functional PBEsol.

Cell lengths 4.6805, 4.6805, 4.7884 Å; angles 90.00, 90.00, 90.00 degrees
Fractional positions:
Ba (0.0000, 0.0000, 0.0000)
As (0.5000, 0.5000, 0.5000)
O (0.0000, 0.5000, 0.0000)
O (0.5000, 0.0000, 0.0000)
F (0.0000, 0.0000, 0.5000)

Properties
Symmetry = P4/mmm
Calculated volume = 20.98 Å³ per atom
Final energy = -4.267 eV per atom
N(E_F) = 3.00 states/eV per cell

NaP2PbS after structural relaxation. Source: Alexandria via LeMat-Bulk, functional PBEsol.

Cell lengths 5.2199, 5.2199, 5.3111 Å; angles 90.00, 90.00, 90.00 degrees
Fractional positions:
Na (0.0000, 0.0000, 0.0000)
P (0.0000, 0.5000, 0.5000)
P (0.5000, 0.0000, 0.5000)
Pb (0.5000, 0.5000, 0.5000)
S (0.5000, 0.5000, 0.0000)

Properties
Symmetry = P4/mmm
Calculated volume = 28.94 Å³ per atom
Final energy = -3.529 eV per atom
N(E_F) = 4.54 states/eV per cell

Eu3SbO7 after structural relaxation. Source: Alexandria via LeMat-Bulk, functional PBEsol.

Cell lengths 6.5184, 6.5184, 7.6142 Å; angles 90.00, 90.00, 110.24 degrees
Fractional positions:
Eu (0.0000, 0.0000, 0.0000)
Eu (0.0000, 0.0000, 0.5000)
Eu (0.0289, 0.4979, 0.7500)
Eu (0.4979, 0.0289, 0.2500)
Eu (0.5021, 0.9711, 0.7500)
Eu (0.9711, 0.5021, 0.2500)
Sb (0.5000, 0.5000, 0.0000)
Sb (0.5000, 0.5000, 0.5000)
O (0.1292, 0.8708, 0.2500)
O (0.1363, 0.8637, 0.7500)
O (0.1798, 0.4271, 0.0286)
O (0.1798, 0.4271, 0.4714)
O (0.4271, 0.1798, 0.5286)
O (0.4271, 0.1798, 0.9714)
O (0.4357, 0.5643, 0.7500)
O (0.5643, 0.4357, 0.2500)
O (0.5729, 0.8202, 0.0286)
O (0.5729, 0.8202, 0.4714)
O (0.8202, 0.5729, 0.5286)
O (0.8202, 0.5729, 0.9714)
O (0.8637, 0.1363, 0.2500)
O (0.8708, 0.1292, 0.7500)

Properties
Symmetry = Cmcm
Calculated volume = 13.80 Å³ per atom
Final energy = -9.177 eV per atom
N(E_F) = 26.55 states/eV per cell